First-principles (GGA-PBE) data for a relaxed CaCeZnRh crystal, as listed in Alexandria.

Cell lengths 4.994, 4.994, 4.994 Å; angles 60.00, 60.00, 60.00 degrees
Fractional positions:
Ca 0.000 0.000 0.000
Ce 0.500 0.500 0.500
Zn 0.750 0.750 0.750
Rh 0.250 0.250 0.250

Calculated volume   88 Å³/cell
E_form   -0.36 eV/atom
Total magnetic moment   0.4 μB/cell